No. 1
Entry from the Alexandria database: a geometry-optimized RbLiSi2Tc structure (PBE).

POSCAR file:
```
RbLiSi2Tc
1.0
4.673 0.000 0.000
0.000 4.673 0.000
0.000 0.000 5.335
Rb Li Si Tc
1 1 2 1
direct
0.000 0.000 0.000
0.500 0.500 0.000
0.000 0.500 0.500
0.500 0.000 0.500
0.500 0.500 0.500
```

E_tot   -4.72 eV per atom
Space-group type   No. 123

***

No. 2
Entry from the Alexandria database: a geometry-optimized RbLiSiTe3 structure (PBE).

POSCAR file:
```
RbLiSiTe3
1.0
6.180 -4.287 0.000
6.180 4.287 0.000
-0.688 0.000 8.347
Rb Li Si Te
2 2 2 6
direct
0.151 0.151 0.364
0.849 0.849 0.636
0.327 0.673 0.000
0.673 0.327 0.000
0.482 0.482 0.359
0.518 0.518 0.641
0.138 0.644 0.266
0.345 0.345 0.783
0.356 0.862 0.734
0.644 0.138 0.266
0.655 0.655 0.217
0.862 0.356 0.734
```

E_tot   -3.47 eV per atom
Space-group type   No. 12

***

No. 3
Entry from the Alexandria database: a geometry-optimized Rb2Li2Sn structure (PBE).

POSCAR file:
```
Rb2Li2Sn
1.0
7.779 0.000 0.000
0.000 7.779 0.000
0.000 0.000 6.250
Rb Li Sn
4 4 2
direct
0.180 0.320 0.000
0.320 0.820 0.000
0.680 0.180 0.000
0.820 0.680 0.000
0.201 0.701 0.500
0.299 0.201 0.500
0.701 0.799 0.500
0.799 0.299 0.500
0.000 0.000 0.500
0.500 0.500 0.500
```

Space-group type   No. 127
Formation enthalpy at 0 K   -0.059 eV per atom

***

No. 4
Entry from the Alexandria database: a geometry-optimized RbLi3Sn structure (PBE).

POSCAR file:
```
RbLi3Sn
1.0
5.392 0.000 0.000
0.000 5.392 0.000
0.000 0.000 5.392
Rb Li Sn
1 3 1
direct
0.000 0.000 0.000
0.000 0.500 0.500
0.500 0.000 0.500
0.500 0.500 0.000
0.500 0.500 0.500
```

Relative energy among the computed polymorphs   0.000 eV/atom
Space-group type   No. 221
Formation enthalpy at 0 K   -0.204 eV per atom